one:
Material: Nd6GaSi2
Method: DFT, PBE-GGA
State: relaxed

The structure belongs to space group P2_1/c (No. 14); the cell edges are 6.304, 8.392 and 11.356 Å and the angles 90.00°, 120.09° and 90.00°. The asymmetric unit holds Nd at (0.083, 0.164, 0.447), Nd at (0.327, 0.685, 0.441), Nd at (0.409, 0.045, 0.273), Ga at (0.000, 0.000, 0.000) and Si at (0.176, 0.116, 0.755).

Its density of states at the Fermi level is 1.001 states/eV/atom.

two:
Material: Nd6GaSi2
Method: DFT, PBE-GGA
State: relaxed

The structure belongs to space group Immm (No. 71); the cell edges are 9.801, 10.088 and 10.366 Å and the angles 90.00°, 90.00° and 90.00°. The asymmetric unit holds Nd at (0.000, 0.200, 0.246), Nd at (0.209, 0.500, 0.176), Nd at (0.232, 0.321, 0.500), Ga at (0.000, 0.000, 0.000), Ga at (0.000, 0.000, 0.500), Si at (0.000, 0.373, 0.000) and Si at (0.000, 0.500, 0.386).

Its density of states at the Fermi level is 0.768 states/eV/atom.

List of relative energies, unit kJ/mol of atoms: one 12.2; two 0.0

one:
Material: Nd3GaSi
Method: DFT, PBE-GGA
State: relaxed

The structure belongs to space group Pmmn (No. 59, origin choice 2); the cell edges are 4.576, 8.937 and 6.636 Å and the angles 90.00°, 90.00° and 90.00°. The asymmetric unit holds Nd at (0.250, 0.049, 0.238), Nd at (0.250, 0.250, 0.743), Ga at (0.250, 0.750, 0.565) and Si at (0.250, 0.750, 0.954).

Its density of states at the Fermi level is 0.817 states/eV/atom.

two:
Material: Nd3GaSi
Method: DFT, PBE-GGA
State: relaxed

The structure belongs to space group P-1 (No. 2); the cell edges are 4.176, 8.025 and 8.555 Å and the angles 86.88°, 89.99° and 74.95°. The asymmetric unit holds Nd at (0.047, 0.407, 0.175), Nd at (0.236, 0.027, 0.824), Nd at (0.405, 0.689, 0.420), Ga at (0.208, 0.084, 0.430) and Si at (0.394, 0.713, 0.066).

Its density of states at the Fermi level is 0.943 states/eV/atom.

List of relative energies, unit kJ/mol of atoms: one 0.0; two 6.8

one:
Material: NdSm2Ga
Method: DFT, PBE-GGA
State: relaxed

The structure belongs to space group Cmcm (No. 63); the cell edges are 4.281, 12.172 and 9.296 Å and the angles 90.00°, 90.00° and 90.00°. The asymmetric unit holds Nd at (0.000, 0.060, 0.250), Sm at (0.000, 0.356, 0.054) and Ga at (0.000, 0.253, 0.750).

Its density of states at the Fermi level is 1.577 states/eV/atom.

two:
Material: NdSm2Ga
Method: DFT, PBE-GGA
State: relaxed

The structure belongs to space group P4/mmm (No. 123); the cell edges are 4.835, 4.835 and 4.807 Å and the angles 90.00°, 90.00° and 90.00°. The asymmetric unit holds Nd at (0.000, 0.000, 0.000), Sm at (0.000, 0.500, 0.500) and Ga at (0.500, 0.500, 0.000).

Its density of states at the Fermi level is 1.699 states/eV/atom.

three:
Material: NdSm2Ga
Method: DFT, PBE-GGA
State: relaxed

The structure belongs to space group R3m (No. 160, hexagonal axes); the cell edges are 3.7084, 3.7084 and 31.2493 Å and the angles 90.00°, 90.00° and 120.00°. The asymmetric unit holds Nd at (0.0000, 0.0000, 0.0000), Sm at (0.0000, 0.0000, 0.2368), Sm at (0.0000, 0.0000, 0.4306) and Ga at (0.0000, 0.0000, 0.8341).

Its density of states at the Fermi level is 1.064 states/eV/atom.

List of relative energies, unit kJ/mol of atoms: one 0.0; two 0.6; three 6.1

one:
Material: Nd2SmGa2
Method: DFT, PBE-GGA
State: relaxed

The structure belongs to space group Immm (No. 71); the cell edges are 4.759, 6.756 and 8.491 Å and the angles 90.00°, 90.00° and 90.00°. The asymmetric unit holds Nd at (0.000, 0.000, 0.198), Sm at (0.000, 0.500, 0.000) and Ga at (0.000, 0.300, 0.500).

Its density of states at the Fermi level is 1.022 states/eV/atom.

two:
Material: Nd2SmGa2
Method: DFT, PBE-GGA
State: relaxed

The structure belongs to space group C2/m (No. 12); the cell edges are 12.531, 3.754 and 6.108 Å and the angles 90.00°, 102.02° and 90.00°. The asymmetric unit holds Nd at (0.135, 0.000, 0.069), Sm at (0.000, 0.500, 0.500) and Ga at (0.204, 0.000, 0.605).

Its density of states at the Fermi level is 1.091 states/eV/atom.

List of relative energies, unit kJ/mol of atoms: one 0.0; two 11.3

one:
Material: Nd3SmGa2
Method: DFT, PBE-GGA
State: relaxed

The structure belongs to space group Pmc2_1 (No. 26); the cell edges are 5.173, 9.719 and 6.716 Å and the angles 90.00°, 90.00° and 90.00°. The asymmetric unit holds Nd at (0.000, 0.053, 0.000), Nd at (0.000, 0.332, 0.333), Nd at (0.500, 0.171, 0.701), Sm at (0.500, 0.445, 0.033), Ga at (0.000, 0.351, 0.807) and Ga at (0.500, 0.150, 0.228).

Its density of states at the Fermi level is 1.055 states/eV/atom.

two:
Material: Nd3SmGa2
Method: DFT, PBE-GGA
State: relaxed

The structure belongs to space group Ibam (No. 72); the cell edges are 7.041, 14.765 and 7.487 Å and the angles 90.00°, 90.00° and 90.00°. The asymmetric unit holds Nd at (0.000, 0.000, 0.250), Nd at (0.000, 0.276, 0.250), Sm at (0.000, 0.500, 0.000) and Ga at (0.200, 0.136, 0.000).

Its density of states at the Fermi level is 1.358 states/eV/atom.

List of relative energies, unit kJ/mol of atoms: one 0.0; two 20.4

one:
Material: NdSm4Ga
Method: DFT, PBE-GGA
State: relaxed

The structure belongs to space group P4/mmm (No. 123); the cell edges are 3.635, 3.635 and 14.119 Å and the angles 90.00°, 90.00° and 90.00°. The asymmetric unit holds Nd at (0.000, 0.000, 0.000), Sm at (0.000, 0.000, 0.370), Sm at (0.500, 0.500, 0.184) and Ga at (0.500, 0.500, 0.500).

Its density of states at the Fermi level is 1.351 states/eV/atom.

two:
Material: NdSm4Ga
Method: DFT, PBE-GGA
State: relaxed

The structure belongs to space group C2/c (No. 15); the cell edges are 9.011, 13.808 and 6.392 Å and the angles 90.00°, 109.36° and 90.00°. The asymmetric unit holds Nd at (0.000, 0.102, 0.250), Sm at (0.102, 0.320, 0.552), Sm at (0.223, 0.106, 0.872) and Ga at (0.000, 0.500, 0.250).

Its density of states at the Fermi level is 1.400 states/eV/atom.

List of relative energies, unit kJ/mol of atoms: one 0.0; two 5.7